Record 1
# LaSe3 (PBE, optimized geometry)
# - Magnetization: 0.00 μB/f.u.
# - Total DFT energy (no corrections): -39.288 eV for the cell shown
data_LaSe3
_chemical_formula_sum 'La2 Se6'
_space_group_name_H-M_alt 'I m m 2'
_space_group_IT_number 44
_space_group_name_Hall 'I 2 -2'
_cell_length_a 4.215
_cell_length_b 10.857
_cell_length_c 4.214
_cell_angle_alpha 90.00
_cell_angle_beta 90.00
_cell_angle_gamma 90.00
loop_
_atom_site_label
_atom_site_type_symbol
_atom_site_fract_x
_atom_site_fract_y
_atom_site_fract_z
_atom_site_occupancy
La1 La 0.000 0.000 0.000 1
Se1 Se 0.000 0.250 0.499 1
Se2 Se 0.000 0.500 0.000 1

Record 2
# VGaNi2 (PBE, optimized geometry)
# - DFT formation energy: -263 meV per atom
# - Magnetization: 0.00 μB/f.u.
data_VGaNi2
_chemical_formula_sum 'V1 Ga1 Ni2'
_space_group_name_H-M_alt 'P 4/m m m'
_space_group_IT_number 123
_space_group_name_Hall '-P 4 2'
_cell_length_a 2.641
_cell_length_b 2.641
_cell_length_c 6.990
_cell_angle_alpha 90.00
_cell_angle_beta 90.00
_cell_angle_gamma 90.00
loop_
_atom_site_label
_atom_site_type_symbol
_atom_site_fract_x
_atom_site_fract_y
_atom_site_fract_z
_atom_site_occupancy
V1 V 0.000 0.000 0.000 1
Ga1 Ga 0.000 0.000 0.500 1
Ni1 Ni 0.500 0.500 0.254 1